Record 1
DFT (GGA-PBEsol) results for a relaxed NaZn3Os crystal.

abc: 4.3591 4.3591 4.3591
angles: 90.00 90.00 90.00
Space group Pm-3m (No. 221)
Asymmetric unit:
Na  0.0000  0.0000  0.0000
Zn  0.0000  0.0000  0.5000
Os  0.5000  0.5000  0.5000

Output
- magnetic moment (μB/f.u.) = 0.0
- uncorrected energy (eV/atom) = -1.910
- ΔE_f (eV/atom) = 1.762
- calculated volume (A^3/atom) = 16.57


Record 2
DFT (GGA-PBEsol) results for a relaxed NaP crystal.

abc: 5.6050 5.9845 10.0507
angles: 90.00 90.00 90.00
Space group P2_12_12_1 (No. 19)
Asymmetric unit:
Na  0.1150  0.1139  0.4188
Na  0.1561  0.3308  0.7821
P  0.1128  0.5567  0.5337
P  0.1536  0.1787  0.1172

Output
- magnetic moment (μB/f.u.) = 0.0
- uncorrected energy (eV/atom) = -3.965
- ΔE_f (eV/atom) = -0.369
- calculated volume (A^3/atom) = 21.07


Record 3
DFT (GGA-PBEsol) results for a relaxed Na3P crystal.

abc: 4.9229 4.9229 8.7789
angles: 90.00 90.00 120.00
Space group P6_3/mmc (No. 194)
Asymmetric unit:
Na  0.0000  0.0000  0.2500
Na  0.3333  0.6667  0.0794
P  0.3333  0.6667  0.7500

Output
- magnetic moment (μB/f.u.) = 0.0
- uncorrected energy (eV/atom) = -2.823
- ΔE_f (eV/atom) = -0.325
- calculated volume (A^3/atom) = 23.03


Record 4
DFT (GGA-PBEsol) results for a relaxed Na3P11 crystal.

abc: 9.7340 12.3747 10.2271
angles: 90.00 90.00 90.00
Space group Pbcn (No. 60)
Asymmetric unit:
Na  0.0000  0.2413  0.2500
Na  0.2446  0.5004  0.0818
P  0.0000  0.0001  0.2500
P  0.0204  0.3613  0.5011
P  0.0859  0.1167  0.8859
P  0.0890  0.3927  0.8171
P  0.1023  0.2062  0.5626
P  0.1941  0.2380  0.7612

Output
- magnetic moment (μB/f.u.) = 0.0
- uncorrected energy (eV/atom) = -5.059
- ΔE_f (eV/atom) = -0.208
- calculated volume (A^3/atom) = 22.00


Record 5
DFT (GGA-PBEsol) results for a relaxed NaP7 crystal.

abc: 14.1865 14.1865 14.5997
angles: 90.00 90.00 90.00
Space group I4_1/acd (No. 142, origin choice 2)
Asymmetric unit:
Na  0.1132  0.1368  0.1250
P  0.0268  0.0000  0.2500
P  0.0683  0.0598  0.8535
P  0.0853  0.0762  0.5757
P  0.1826  0.0425  0.4622

Output
- magnetic moment (μB/f.u.) = 0.0
- uncorrected energy (eV/atom) = -5.364
- ΔE_f (eV/atom) = -0.122
- calculated volume (A^3/atom) = 22.96


Record 6
DFT (GGA-PBEsol) results for a relaxed NaP15 crystal.

abc: 6.8864 8.9546 11.2087
angles: 92.57 99.23 105.92
Space group P-1 (No. 2)
Asymmetric unit:
Na  0.2117  0.2098  0.0002
P  0.0084  0.3456  0.4135
P  0.0209  0.8986  0.6522
P  0.0223  0.4336  0.8317
P  0.1012  0.7683  0.3055
P  0.1079  0.9095  0.8473
P  0.2180  0.5838  0.7228
P  0.2581  0.4853  0.1731
P  0.2839  0.8749  0.1708
P  0.3118  0.4553  0.3702
P  0.3134  0.9838  0.5834
P  0.3321  0.6935  0.4424
P  0.3494  0.7980  0.8504
P  0.3781  0.2359  0.6283
P  0.4615  0.0913  0.2822
P  0.4938  0.7227  0.1744

Output
- magnetic moment (μB/f.u.) = 0.0
- uncorrected energy (eV/atom) = -5.568
- ΔE_f (eV/atom) = -0.051
- calculated volume (A^3/atom) = 20.41


Record 7
DFT (GGA-PBEsol) results for a relaxed Na2P2Pb crystal.

abc: 4.3789 4.3789 11.5239
angles: 90.00 90.00 90.00
Space group I4/mmm (No. 139)
Asymmetric unit:
Na  0.0000  0.5000  0.2500
P  0.0000  0.0000  0.0941
Pb  0.0000  0.0000  0.5000

Output
- magnetic moment (μB/f.u.) = 0.0
- uncorrected energy (eV/atom) = -3.759
- ΔE_f (eV/atom) = -0.083
- calculated volume (A^3/atom) = 22.10


Record 8
DFT (GGA-PBEsol) results for a relaxed Na6P4Pb3S16 crystal.

abc: 19.2289 19.2289 6.0882
angles: 90.00 90.00 120.00
Space group R3m (No. 160, hexagonal axes)
Asymmetric unit:
Na  0.1190  0.4321  0.0000
P  0.0000  0.0000  0.5456
P  0.1753  0.3507  0.5581
Pb  0.0886  0.1773  0.8735
S  0.0000  0.0000  0.8831
S  0.0074  0.5037  0.8949
S  0.0316  0.4286  0.3691
S  0.0586  0.1173  0.4374
S  0.1953  0.0976  0.9566

Output
- magnetic moment (μB/f.u.) = 0.0
- uncorrected energy (eV/atom) = -4.626
- calculated volume (A^3/atom) = 22.41


Question: calculated volume of number 7 (Na2P2Pb)?
Answer: 22.10 A^3/atom